DFT (PBE-GGA) results for an optimized crystal structure of AcMgCuSi.

Cell lengths 7.1604, 7.1604, 7.1604 Å; angles 90.00, 90.00, 90.00 degrees
Space group F-43m (No. 216)
Unique sites:
Ac (0.0000, 0.0000, 0.0000) (multiplicity 4)
Mg (0.0000, 0.0000, 0.5000) (multiplicity 4)
Cu (0.2500, 0.2500, 0.2500) (multiplicity 4)
Si (0.2500, 0.2500, 0.7500) (multiplicity 4)

Summary:
density of states at the Fermi level: 6.062 states/eV/cell
crystal system: cubic
magnetization: 0.00 μB per formula unit
raw total energy: -3.970 eV per atom
uncorrected formation energy: -164 meV/atom